(1)
First-principles (PBE) data for crystalline Hf2InH at its relaxed geometry, as listed in the Alexandria database.

Unit cell a=4.7170 b=4.7170 c=4.7170 alpha=60.00 beta=60.00 gamma=60.00
Closest atoms and distances in Å follow each position.
Element x y z (fractional)
In 0.5000 0.5000 0.5000  8 Hf 2.89
Hf 0.7500 0.7500 0.7500  4 In 2.89, 4 H 2.89
Hf 0.2500 0.2500 0.2500  4 In 2.89, 4 H 2.89
H 0.0000 0.0000 0.0000  8 Hf 2.89

Calculated values
* energy above the lowest structure with this stoichiometry: 670.7 meV per atom
* D(E_F): 1.079 states/eV/atom
* space group: Fm-3m (225)
* magnetic moment: 0.00 Bohr magnetons per cell

(2)
First-principles (PBE) data for crystalline RbH2ClF8 at its relaxed geometry, as listed in the Alexandria database.

Unit cell a=5.0442 b=4.8482 c=7.8889 alpha=88.87 beta=79.83 gamma=84.94
Closest atoms and distances in Å follow each position.
Element x y z (fractional)
F 0.2888 0.2139 0.9600  1 H 1.61
F 0.8413 0.2144 0.8509  1 Cl 1.80
F 0.4362 0.2650 0.6324  1 H 0.97
F 0.8414 0.2219 0.1769  1 Cl 1.80
F 0.1586 0.7781 0.8231  1 Cl 1.80
F 0.1587 0.7856 0.1491  1 Cl 1.80
F 0.7112 0.7861 0.0400  1 H 1.61
F 0.5638 0.7350 0.3676  1 H 0.97
Rb 0.0000 0.0000 0.5000  8 F 2.93-3.03
Cl 0.0000 0.0000 0.0000  6 F 1.80-1.84
H 0.6094 0.7405 0.2432  1 F 0.97
H 0.3906 0.2595 0.7568  1 F 0.97

Calculated values
* uncorrected energy: -3.352 eV per atom
* D(E_F): 0.000 states/eV/atom
* space group: P-1 (2)
* magnetic moment: 0.00 Bohr magnetons per cell

(3)
First-principles (PBE) data for crystalline Ba2TlPtPb at its relaxed geometry, as listed in the Alexandria database.

Unit cell a=6.1026 b=6.1026 c=5.2844 alpha=90.00 beta=90.00 gamma=90.00
Closest atoms and distances in Å follow each position.
Element x y z (fractional)
Pt 0.0000 0.0000 0.0000  2 Tl 2.64
Ba 0.5000 0.0000 0.0000  2 Pt 3.05
Ba 0.0000 0.5000 0.0000  2 Pt 3.05
Pb 0.5000 0.5000 0.5000  8 Ba 4.04, 4 Tl 4.32
Tl 0.0000 0.0000 0.5000  2 Pt 2.64

Calculated values
* calculated formation energy: -446 meV/atom
* energy above the lowest structure with this stoichiometry: 0.0 meV per atom
* D(E_F): 0.920 states/eV/atom
* space group: P4/mmm (123)
* magnetic moment: 0.00 Bohr magnetons per cell

(4)
First-principles (PBE) data for crystalline BeReCl2 at its relaxed geometry, as listed in the Alexandria database.

Unit cell a=4.0802 b=2.8948 c=5.5103 alpha=107.14 beta=90.00 gamma=90.00
Closest atoms and distances in Å follow each position.
Element x y z (fractional)
Re 0.5000 0.2500 0.2500  4 Cl 2.45, 2 Be 2.71
Be 0.5000 0.7500 0.7500  4 Cl 2.53, 2 Re 2.71
Cl 0.0000 0.1505 0.9949  2 Re 2.45, 2 Be 2.53, 1 Cl 2.70
Cl 0.0000 0.3495 0.5051  2 Re 2.45, 2 Be 2.53, 1 Cl 2.70

Calculated values
* E_form (uncorrected): 0.69 eV per atom
* energy above the lowest structure with this stoichiometry: 788.4 meV per atom
* D(E_F): 0.621 states/eV/atom
* space group: P2/m (10)
* magnetic moment: 0.00 Bohr magnetons per cell

(5)
First-principles (PBE) data for crystalline Tb6Pm5Th2 at its relaxed geometry, as listed in the Alexandria database.

Unit cell a=3.5962 b=11.5744 c=21.0086 alpha=90.00 beta=90.00 gamma=90.00
Closest atoms and distances in Å follow each position.
Element x y z (fractional)
Tb 0.0000 0.0642 0.3523  1 Th 3.40, 4 Tb 3.43-3.60, 6 Pm 3.56-3.66
Tb 0.0000 0.0812 0.0624  5 Tb 3.23-3.60, 2 Pm 3.51
Tb 0.0000 0.9188 0.9376  5 Tb 3.23-3.60, 2 Pm 3.51
Tb 0.0000 0.4358 0.8523  1 Th 3.40, 4 Tb 3.43-3.60, 6 Pm 3.56-3.66
Tb 0.5000 0.6848 0.8762  2 Pm 3.37, 6 Tb 3.43-3.60, 2 Th 3.46
Tb 0.0000 0.5812 0.4376  5 Tb 3.23-3.60, 2 Pm 3.51
Tb 0.0000 0.4188 0.5624  5 Tb 3.23-3.60, 2 Pm 3.51
Tb 0.5000 0.1848 0.6238  2 Pm 3.37, 6 Tb 3.43-3.60, 2 Th 3.46
Tb 0.0000 0.9358 0.6477  1 Th 3.40, 4 Tb 3.43-3.60, 6 Pm 3.56-3.66
Tb 0.0000 0.5642 0.1477  1 Th 3.40, 4 Tb 3.43-3.60, 6 Pm 3.56-3.66
Tb 0.5000 0.3152 0.1238  2 Pm 3.37, 6 Tb 3.43-3.60, 2 Th 3.46
Tb 0.5000 0.8152 0.3762  2 Pm 3.37, 6 Tb 3.43-3.60, 2 Th 3.46
Th 0.0000 0.1887 0.7647  3 Tb 3.40-3.46, 6 Pm 3.50-3.75, 2 Th 3.60
Th 0.0000 0.6887 0.7353  3 Tb 3.40-3.46, 6 Pm 3.50-3.75, 2 Th 3.60
Th 0.0000 0.8113 0.2353  3 Tb 3.40-3.46, 6 Pm 3.50-3.75, 2 Th 3.60
Th 0.0000 0.3113 0.2647  3 Tb 3.40-3.46, 6 Pm 3.50-3.75, 2 Th 3.60
Pm 0.5000 0.8098 0.0788  4 Pm 3.60-3.98, 6 Tb 3.64-3.69, 2 Th 3.75
Pm 0.5000 0.1902 0.9212  4 Pm 3.60-3.98, 6 Tb 3.64-3.69, 2 Th 3.75
Pm 0.5000 0.9346 0.7942  5 Tb 3.37-3.56, 4 Th 3.50-3.59, 2 Pm 3.60
Pm 0.5000 0.0654 0.2058  5 Tb 3.37-3.56, 4 Th 3.50-3.59, 2 Pm 3.60
Pm 0.5000 0.5000 0.0000  6 Tb 3.37-3.66, 2 Pm 3.60
Pm 0.5000 0.6902 0.5788  4 Pm 3.60-3.98, 6 Tb 3.64-3.69, 2 Th 3.75
Pm 0.5000 0.4346 0.7058  5 Tb 3.37-3.56, 4 Th 3.50-3.59, 2 Pm 3.60
Pm 0.5000 0.0000 0.5000  6 Tb 3.37-3.66, 2 Pm 3.60
Pm 0.5000 0.3098 0.4212  4 Pm 3.60-3.98, 6 Tb 3.64-3.69, 2 Th 3.75
Pm 0.5000 0.5654 0.2942  5 Tb 3.37-3.56, 4 Th 3.50-3.59, 2 Pm 3.60

Calculated values
* calculated formation energy: 108 meV/atom
* D(E_F): 1.323 states/eV/atom
* space group: Pbam (55)
* magnetic moment: 0.00 Bohr magnetons per cell

(6)
First-principles (PBE) data for crystalline Er3ScHg4 at its relaxed geometry, as listed in the Alexandria database.

Unit cell a=3.6416 b=3.6416 c=14.6563 alpha=90.00 beta=90.00 gamma=90.00
Closest atoms and distances in Å follow each position.
Element x y z (fractional)
Hg 0.0000 0.0000 0.8857  4 Sc 3.07, 4 Er 3.20, 1 Hg 3.35
Hg 0.0000 0.0000 0.3727  8 Er 3.18-3.19
Hg 0.0000 0.0000 0.1143  4 Sc 3.07, 4 Er 3.20, 1 Hg 3.35
Hg 0.0000 0.0000 0.6273  8 Er 3.18-3.19
Er 0.5000 0.5000 0.2441  8 Hg 3.19-3.20
Er 0.5000 0.5000 0.5000  8 Hg 3.18
Er 0.5000 0.5000 0.7559  8 Hg 3.19-3.20
Sc 0.5000 0.5000 0.0000  8 Hg 3.07

Calculated values
* calculated formation energy: -462 meV/atom
* D(E_F): 0.932 states/eV/atom
* space group: P4/mmm (123)
* magnetic moment: 0.00 Bohr magnetons per cell